#w
# TcGe2Rh

Crystalline TcGe2Rh at its relaxed geometry (PBE, Alexandria).

Cell: 4.332 4.332 4.332 Å, 60.00 60.00 60.00°
Fractional positions:
1 Tc 0.000 0.000 0.000
2 Ge 0.250 0.250 0.250
3 Ge 0.750 0.750 0.750
4 Rh 0.500 0.500 0.500

Values from the calculation:
The calculation puts the magnetization at 0.0 μB per formula unit. As for the density of states at the Fermi level: 0.887 states/eV per cell. As for the calculated density: 9.998 g/cm³.



#x
# TcGe2Rh

Crystalline TcGe2Rh at its relaxed geometry (PBE, Alexandria).

Cell: 8.894 8.894 8.894 Å, 18.89 18.89 18.89°
Fractional positions:
1 Tc 0.000 0.000 0.000
2 Ge 0.409 0.409 0.409
3 Ge 0.591 0.591 0.591
4 Rh 0.500 0.500 0.500

Values from the calculation:
The calculation puts the magnetization at 0.0 μB per formula unit. As for the density of states at the Fermi level: 3.310 states/eV per cell. As for the calculated density: 8.916 g/cm³.



Relative to the most stable structure, the computed energies are #w 0; #x 291, all in meV per atom.



#w
# Tc2GeRh2

Crystalline Tc2GeRh2 at its relaxed geometry (PBE, Alexandria).

Cell: 7.593 7.593 2.720 Å, 90.00 90.00 90.00°
Fractional positions:
1 Tc 0.173 0.327 0.000
2 Tc 0.327 0.827 0.000
3 Tc 0.673 0.173 0.000
4 Tc 0.827 0.673 0.000
5 Ge 0.000 0.000 0.500
6 Ge 0.500 0.500 0.500
7 Rh 0.123 0.623 0.500
8 Rh 0.377 0.123 0.500
9 Rh 0.623 0.877 0.500
10 Rh 0.877 0.377 0.500

Values from the calculation:
The calculation puts the magnetization at 0.0 μB per formula unit. As for the density of states at the Fermi level: 12.299 states/eV per cell. As for the calculated density: 10.048 g/cm³.



#x
# Tc2GeRh2

Crystalline Tc2GeRh2 at its relaxed geometry (PBE, Alexandria).

Cell: 7.151 7.151 7.151 Å, 152.02 152.02 39.98°
Fractional positions:
1 Tc 0.250 0.750 0.500
2 Tc 0.750 0.250 0.500
3 Ge 0.000 0.000 0.000
4 Rh 0.403 0.403 0.000
5 Rh 0.597 0.597 0.000

Values from the calculation:
The calculation puts the magnetization at 0.0 μB per formula unit. As for the density of states at the Fermi level: 3.565 states/eV per cell. As for the calculated density: 9.809 g/cm³.



Relative to the most stable structure, the computed energies are #w 58; #x 0, all in meV per atom.